Entry 1:
First-principles (PBE) data for a geometry-optimized LiAc2NpS6 structure, as listed in Alexandria.

Cell lengths 6.7867, 7.4809, 11.7394 Å; angles 90.00, 123.99, 90.00 degrees
Space group P2_1/c (No. 14)
Asymmetric unit:
Li 0.0000 0.0000 0.0000
Ac 0.2203 0.0905 0.7493
Np 0.5000 0.0000 0.5000
S 0.1347 0.1835 0.4478
S 0.2666 0.6972 0.4460
S 0.3535 0.0279 0.2458

***

Entry 2:
First-principles (PBE) data for a geometry-optimized LiAcNpS3 structure, as listed in Alexandria.

Cell lengths 8.3179, 4.0170, 8.7158 Å; angles 90.00, 103.70, 90.00 degrees
Space group P2_1/m (No. 11)
Asymmetric unit:
Li 0.0890 0.2500 0.0870
Ac 0.1860 0.2500 0.7247
Np 0.3374 0.7500 0.3413
S 0.1048 0.2500 0.3638
S 0.2083 0.7500 0.0069
S 0.4360 0.7500 0.6704

***

Entry 3:
First-principles (PBE) data for a geometry-optimized Li2AcNpSe4 structure, as listed in Alexandria.

Cell lengths 6.9955, 4.2805, 7.4595 Å; angles 90.00, 111.05, 90.00 degrees
Space group P2/m (No. 10)
Asymmetric unit:
Li 0.0000 0.0000 0.0000
Li 0.0000 0.5000 0.5000
Ac 0.5000 0.0000 0.5000
Np 0.5000 0.5000 0.0000
Se 0.2343 0.5000 0.2294
Se 0.2438 0.0000 0.7614

***

Entry 4:
First-principles (PBE) data for a geometry-optimized LiAcNpSe3 structure, as listed in Alexandria.

Cell lengths 8.6650, 4.1805, 9.1193 Å; angles 90.00, 104.18, 90.00 degrees
Space group P2_1/m (No. 11)
Asymmetric unit:
Li 0.0889 0.2500 0.0872
Ac 0.1868 0.2500 0.7287
Np 0.3370 0.7500 0.3453
Se 0.1020 0.2500 0.3669
Se 0.2148 0.7500 0.0075
Se 0.4366 0.7500 0.6770

***

Entry 5:
First-principles (PBE) data for a geometry-optimized LiAc2NpSe6 structure, as listed in Alexandria.

Cell lengths 7.0084, 7.8693, 12.2052 Å; angles 90.00, 123.51, 90.00 degrees
Space group P2_1/c (No. 14)
Asymmetric unit:
Li 0.0000 0.0000 0.0000
Ac 0.2127 0.0997 0.7487
Np 0.5000 0.0000 0.5000
Se 0.1244 0.1821 0.4460
Se 0.2715 0.6924 0.4448
Se 0.3570 0.0262 0.2439

***

Entry 6:
First-principles (PBE) data for a geometry-optimized Li2Ac2NpSe6 structure, as listed in Alexandria.

Cell lengths 7.6021, 7.6021, 20.6555 Å; angles 90.00, 90.00, 120.00 degrees
Space group R-3m (No. 166, hexagonal axes)
Asymmetric unit:
Li 0.0000 0.0000 0.0721
Ac 0.0000 0.0000 0.2989
Np 0.0000 0.0000 0.5000
Se 0.0224 0.5112 0.2593

***

Entry 7:
First-principles (PBE) data for a geometry-optimized LiAcNpTe3 structure, as listed in Alexandria.

Cell lengths 9.1778, 4.4535, 9.8134 Å; angles 90.00, 104.69, 90.00 degrees
Space group P2_1/m (No. 11)
Asymmetric unit:
Li 0.0892 0.2500 0.0883
Ac 0.1877 0.2500 0.7358
Np 0.3350 0.7500 0.3490
Te 0.0986 0.2500 0.3718
Te 0.2257 0.7500 0.0092
Te 0.4380 0.7500 0.6805

***

Entry 8:
First-principles (PBE) data for a geometry-optimized LiAcO2 structure, as listed in Alexandria.

Cell lengths 3.7894, 3.7894, 15.4097 Å; angles 90.00, 90.00, 120.00 degrees
Space group R-3m (No. 166, hexagonal axes)
Asymmetric unit:
Li 0.0000 0.0000 0.0000
Ac 0.0000 0.0000 0.5000
O 0.0000 0.0000 0.2481

***

Entry 9:
First-principles (PBE) data for a geometry-optimized LiAcO2 structure, as listed in Alexandria.

Cell lengths 3.5224, 3.7477, 6.0945 Å; angles 76.89, 73.25, 62.03 degrees
Space group P1 (No. 1)
Asymmetric unit:
Li 0.0000 0.0000 0.0000
Ac 0.4381 0.5886 0.5381
O 0.6541 0.8931 0.8013
O 0.8523 0.9758 0.3226

***

Entry 10:
First-principles (PBE) data for a geometry-optimized LiAcO2 structure, as listed in Alexandria.

Cell lengths 3.7837, 3.7837, 19.0072 Å; angles 90.00, 90.00, 120.00 degrees
Space group R3m (No. 160, hexagonal axes)
Asymmetric unit:
Li 0.0000 0.0000 0.0000
Ac 0.0000 0.0000 0.7948
O 0.0000 0.0000 0.1808
O 0.0000 0.0000 0.3803

***

Entry 11:
First-principles (PBE) data for a geometry-optimized LiAcO2 structure, as listed in Alexandria.

Cell lengths 3.1735, 3.1735, 6.1504 Å; angles 90.00, 90.00, 90.00 degrees
Space group P4/mmm (No. 123)
Asymmetric unit:
Li 0.0000 0.0000 0.0000
Ac 0.0000 0.0000 0.5000
O 0.5000 0.5000 0.2731

***

Entry 12:
First-principles (PBE) data for a geometry-optimized Li2Ac4O structure, as listed in Alexandria.

Cell lengths 5.2488, 5.2488, 16.3286 Å; angles 90.00, 90.00, 90.00 degrees
Space group I4/mmm (No. 139)
Asymmetric unit:
Li 0.0000 0.0000 0.1237
Ac 0.0000 0.0000 0.3208
Ac 0.0000 0.5000 0.0000
O 0.0000 0.0000 0.5000

***

The following formation energy (no corrections) values (in meV per atom) correspond, in order, to the records above: -1702.3; -1585.0; -1411.3; -1429.9; -1538.1; -1240.3; -1051.9; -2504.1; -2512.6; -2397.7; -1996.0; -580.3.